Entry 1:
# La8InIr4

A relaxed structure of La8InIr4 (PBE-GGA, Alexandria via LeMat-Bulk).

Output
- Symmetry: No. 12
- Final energy: -6.578 eV per atom

Lattice parameters (Å, degrees): 9.5604 9.5604 13.4234 130.13 130.13 25.98
Last column: nearest neighbours and their distance in Å.
Positions (direct):
La (0.0419, 0.0419, 0.1928)  3 Ir 2.83-3.05
La (0.3171, 0.3171, 0.8904)  3 Ir 2.89-2.95
La (0.3185, 0.3185, 0.4570)  3 Ir 2.89-2.95
La (0.3918, 0.3918, 0.2286)  3 Ir 2.88-3.22
La (0.6082, 0.6082, 0.7714)  3 Ir 2.88-3.22
La (0.6815, 0.6815, 0.5430)  3 Ir 2.89-2.95
La (0.6829, 0.6829, 0.1096)  3 Ir 2.89-2.95
La (0.9581, 0.9581, 0.8072)  3 Ir 2.83-3.05
In (0.0000, 0.0000, 0.5000)  8 La 3.50-3.72
Ir (0.1713, 0.1713, 0.9559)  6 La 2.88-3.22, 2 Ir 3.17
Ir (0.3264, 0.3264, 0.6795)  6 La 2.83-2.95
Ir (0.6736, 0.6736, 0.3205)  6 La 2.83-2.95
Ir (0.8287, 0.8287, 0.0441)  6 La 2.88-3.22, 2 Ir 3.17

---

Entry 2:
# La2Cu4AsP3

A relaxed structure of La2Cu4AsP3 (PBE-GGA, Alexandria via LeMat-Bulk).

Output
- Symmetry: No. 115
- Final energy: -5.413 eV per atom

Lattice parameters (Å, degrees): 4.2786 4.2786 9.4674 90.00 90.00 90.00
Last column: nearest neighbours and their distance in Å.
Positions (direct):
La (0.0000, 0.5000, 0.2489)  8 Cu 3.18-3.25, 2 As 3.20, 6 P 3.20-3.23
La (0.5000, 0.0000, 0.7511)  8 Cu 3.18-3.25, 2 As 3.20, 6 P 3.20-3.23
Cu (0.0000, 0.0000, 0.0000)  4 P 2.47
Cu (0.0000, 0.5000, 0.6256)  3 P 2.31-2.45, 2 As 2.45
Cu (0.5000, 0.0000, 0.3744)  3 P 2.31-2.45, 2 As 2.45
Cu (0.5000, 0.5000, 0.0000)  4 P 2.47
As (0.0000, 0.0000, 0.5000)  4 Cu 2.45
P (0.0000, 0.5000, 0.8696)  5 Cu 2.31-2.47
P (0.5000, 0.0000, 0.1304)  5 Cu 2.31-2.47
P (0.5000, 0.5000, 0.5000)  4 Cu 2.45

---

Entry 3:
# BaTiOF2

A relaxed structure of BaTiOF2 (PBE-GGA, Alexandria via LeMat-Bulk).

Output
- Energy above the lowest structure with this stoichiometry: 0 meV/atom
- Symmetry: No. 123
- Final energy: -6.570 eV per atom
- Formation energy without anion corrections: -2.866 eV/atom

Lattice parameters (Å, degrees): 4.3198 4.3198 4.0640 90.00 90.00 90.00
Last column: nearest neighbours and their distance in Å.
Positions (direct):
Ba (0.0000, 0.0000, 0.0000)  8 F 2.97, 4 O 3.05
Ti (0.5000, 0.5000, 0.5000)  2 O 2.03, 4 F 2.16
O (0.5000, 0.5000, 0.0000)  2 Ti 2.03
F (0.0000, 0.5000, 0.5000)  2 Ti 2.16
F (0.5000, 0.0000, 0.5000)  2 Ti 2.16

---

Entry 4:
# Na4Sr11

A relaxed structure of Na4Sr11 (PBE-GGA, Alexandria via LeMat-Bulk).

Output
- Symmetry: No. 136
- Final energy: -1.536 eV per atom

Lattice parameters (Å, degrees): 14.2064 14.2064 7.6656 90.00 90.00 90.00
Last column: nearest neighbours and their distance in Å.
Positions (direct):
Na (0.0381, 0.3656, 0.0000)  5 Sr 3.80-4.06, 1 Na 3.97
Na (0.1344, 0.5381, 0.5000)  5 Sr 3.80-4.06, 1 Na 3.97
Na (0.3656, 0.0381, 0.0000)  5 Sr 3.80-4.06, 1 Na 3.97
Na (0.4619, 0.8656, 0.5000)  5 Sr 3.80-4.06, 1 Na 3.97
Na (0.5381, 0.1344, 0.5000)  5 Sr 3.80-4.06, 1 Na 3.97
Na (0.6344, 0.9619, 0.0000)  5 Sr 3.80-4.06, 1 Na 3.97
Na (0.8656, 0.4619, 0.5000)  5 Sr 3.80-4.06, 1 Na 3.97
Na (0.9619, 0.6344, 0.0000)  5 Sr 3.80-4.06, 1 Na 3.97
Sr (0.0000, 0.0000, 0.5000)  12 Sr 4.03-4.39
Sr (0.0643, 0.2762, 0.5000)  4 Na 3.85-4.06, 6 Sr 4.03-4.26
Sr (0.1069, 0.1069, 0.0000)  2 Na 3.80
Sr (0.1805, 0.8195, 0.2489)  7 Sr 3.82-4.20
Sr (0.1805, 0.8195, 0.7511)  7 Sr 3.82-4.20
Sr (0.2238, 0.5643, 0.0000)  4 Na 3.85-4.06, 6 Sr 4.03-4.26
Sr (0.2762, 0.0643, 0.5000)  4 Na 3.85-4.06, 6 Sr 4.03-4.26
Sr (0.3195, 0.3195, 0.2511)  7 Sr 3.82-4.20
Sr (0.3195, 0.3195, 0.7489)  7 Sr 3.82-4.20
Sr (0.3931, 0.6069, 0.5000)  2 Na 3.80
Sr (0.4357, 0.7762, 0.0000)  4 Na 3.85-4.06, 6 Sr 4.03-4.26
Sr (0.5000, 0.5000, 0.0000)  12 Sr 4.03-4.39
Sr (0.5643, 0.2238, 0.0000)  4 Na 3.85-4.06, 6 Sr 4.03-4.26
Sr (0.6069, 0.3931, 0.5000)  2 Na 3.80
Sr (0.6805, 0.6805, 0.2511)  7 Sr 3.82-4.20
Sr (0.6805, 0.6805, 0.7489)  7 Sr 3.82-4.20
Sr (0.7238, 0.9357, 0.5000)  4 Na 3.85-4.06, 6 Sr 4.03-4.26
Sr (0.7762, 0.4357, 0.0000)  4 Na 3.85-4.06, 6 Sr 4.03-4.26
Sr (0.8195, 0.1805, 0.2489)  7 Sr 3.82-4.20
Sr (0.8195, 0.1805, 0.7511)  7 Sr 3.82-4.20
Sr (0.8931, 0.8931, 0.0000)  2 Na 3.80
Sr (0.9357, 0.7238, 0.5000)  4 Na 3.85-4.06, 6 Sr 4.03-4.26